PdSeNF2 after structural relaxation. Source: Alexandria via LeMat-Bulk, functional PBE.

Computed properties:
* ρ: 5.465 g cm⁻³
* E above lowest polymorph: 0 meV/atom
* space-group type: P4/mmm (123)
* uncorrected formation energy: 292 meV per atom
* electronic total energy: -3.8568 eV per atom
* total magnetic moment: 0.87 Bohr magnetons per cell

The structure in POSCAR format:
```
PdSeNF2
1.0
4.368 0.000 0.000
0.000 4.368 0.000
0.000 0.000 3.780
Pd Se N F
1 1 1 2
Cartesian
0.000 0.000 0.000
2.184 2.184 1.890
2.184 2.184 0.000
0.000 2.184 1.890
2.184 0.000 1.890
```